w.
A geometry-optimized DyYNiRh structure. Source: Alexandria, functional PBE-GGA.

Cell and atoms, written as CIF:
```
data_DyYNiRh
_chemical_formula_sum 'Dy2 Y2 Ni2 Rh2'
_symmetry_space_group_name_H-M 'A m m 2'
_symmetry_Int_Tables_number 38
_cell_length_a 4.0987
_cell_length_b 3.8513
_cell_length_c 10.5760
_cell_angle_alpha 90.00
_cell_angle_beta 90.00
_cell_angle_gamma 90.00
loop_
_symmetry_equiv_pos_as_xyz
'x,y,z'
'-x,-y,z'
'-x,y,z'
'x,-y,z'
'x,y+1/2,z+1/2'
'-x,-y+1/2,z+1/2'
'-x,y+1/2,z+1/2'
'x,-y+1/2,z+1/2'
loop_
_atom_site_label
_atom_site_fract_x
_atom_site_fract_y
_atom_site_fract_z
Dy1 0.0000 0.0000 0.0000
Y1 0.5000 0.0000 0.2827
Ni1 0.0000 0.0000 0.7185
Rh1 0.5000 0.0000 0.5627
```

=====

x.
A geometry-optimized DyYNiRh structure. Source: Alexandria, functional PBE-GGA.

Cell and atoms, written as CIF:
```
data_DyYNiRh
_chemical_formula_sum 'Dy4 Y4 Ni4 Rh4'
_symmetry_space_group_name_H-M 'F -4 3 m'
_symmetry_Int_Tables_number 216
_symmetry_space_group_name_Hall 'F -4 2 3'
_cell_length_a 6.8331
_cell_length_b 6.8331
_cell_length_c 6.8331
_cell_angle_alpha 90.00
_cell_angle_beta 90.00
_cell_angle_gamma 90.00
loop_
_atom_site_label
_atom_site_fract_x
_atom_site_fract_y
_atom_site_fract_z
Dy1 0.0000 0.0000 0.0000
Y1 0.0000 0.0000 0.5000
Ni1 0.2500 0.2500 0.2500
Rh1 0.2500 0.2500 0.7500
```

=====

Computed energies relative to the best structure, in meV per atom: w 0; x 27

=====

w.
A geometry-optimized DyTmNiRu structure. Source: Alexandria, functional PBE-GGA.

Cell and atoms, written as CIF:
```
data_DyTmNiRu
_chemical_formula_sum 'Dy4 Tm4 Ni4 Ru4'
_symmetry_space_group_name_H-M 'F -4 3 m'
_symmetry_Int_Tables_number 216
_symmetry_space_group_name_Hall 'F -4 2 3'
_cell_length_a 6.7338
_cell_length_b 6.7338
_cell_length_c 6.7338
_cell_angle_alpha 90.00
_cell_angle_beta 90.00
_cell_angle_gamma 90.00
loop_
_atom_site_label
_atom_site_fract_x
_atom_site_fract_y
_atom_site_fract_z
Dy1 0.0000 0.0000 0.0000
Tm1 0.0000 0.0000 0.5000
Ni1 0.2500 0.2500 0.2500
Ru1 0.2500 0.2500 0.7500
```

=====

x.
A geometry-optimized DyTmNiRu structure. Source: Alexandria, functional PBE-GGA.

Cell and atoms, written as CIF:
```
data_DyTmNiRu
_chemical_formula_sum 'Dy1 Tm1 Ni1 Ru1'
_symmetry_space_group_name_H-M 'P 4 m m'
_symmetry_Int_Tables_number 99
_cell_length_a 3.3788
_cell_length_b 3.3788
_cell_length_c 6.6980
_cell_angle_alpha 90.00
_cell_angle_beta 90.00
_cell_angle_gamma 90.00
loop_
_symmetry_equiv_pos_as_xyz
'x,y,z'
'-y,x,z'
'-x,-y,z'
'y,-x,z'
'-x,y,z'
'y,x,z'
'x,-y,z'
'-y,-x,z'
loop_
_atom_site_label
_atom_site_fract_x
_atom_site_fract_y
_atom_site_fract_z
Dy1 0.0000 0.0000 0.0000
Tm1 0.0000 0.0000 0.4969
Ni1 0.5000 0.5000 0.7434
Ru1 0.5000 0.5000 0.2526
```

=====

Computed energies relative to the best structure, in meV per atom: w 20; x 0

=====

w.
A geometry-optimized Dy4NiSb structure. Source: Alexandria, functional PBE-GGA.

Cell and atoms, written as CIF:
```
data_Dy4NiSb
_chemical_formula_sum 'Dy8 Ni2 Sb2'
_symmetry_space_group_name_H-M 'P 1 21/m 1'
_symmetry_Int_Tables_number 11
_cell_length_a 6.0326
_cell_length_b 6.5616
_cell_length_c 8.5863
_cell_angle_alpha 90.00
_cell_angle_beta 110.02
_cell_angle_gamma 90.00
loop_
_symmetry_equiv_pos_as_xyz
'x,y,z'
'-x,-y,-z'
'-x,y+1/2,-z'
'x,-y+1/2,z'
loop_
_atom_site_label
_atom_site_fract_x
_atom_site_fract_y
_atom_site_fract_z
Dy1 0.0118 0.0008 0.2079
Dy2 0.3991 0.2500 0.6225
Dy3 0.4382 0.2500 0.0874
Ni1 0.2493 0.7500 0.0650
Sb1 0.2106 0.7500 0.5488
```

=====

x.
A geometry-optimized Dy4NiSb structure. Source: Alexandria, functional PBE-GGA.

Cell and atoms, written as CIF:
```
data_Dy4NiSb
_chemical_formula_sum 'Dy16 Ni4 Sb4'
_symmetry_space_group_name_H-M 'C 1 2/c 1'
_symmetry_Int_Tables_number 15
_cell_length_a 15.3147
_cell_length_b 6.0887
_cell_length_c 7.3645
_cell_angle_alpha 90.00
_cell_angle_beta 106.83
_cell_angle_gamma 90.00
loop_
_symmetry_equiv_pos_as_xyz
'x,y,z'
'-x,-y,-z'
'-x,y,-z+1/2'
'x,-y,z+1/2'
'x+1/2,y+1/2,z'
'-x+1/2,-y+1/2,-z'
'-x+1/2,y+1/2,-z+1/2'
'x+1/2,-y+1/2,z+1/2'
loop_
_atom_site_label
_atom_site_fract_x
_atom_site_fract_y
_atom_site_fract_z
Dy1 0.0835 0.1120 0.4505
Dy2 0.1764 0.4033 0.1444
Ni1 0.2500 0.2500 0.5000
Sb1 0.0000 0.3696 0.7500
```

=====

Computed energies relative to the best structure, in meV per atom: w 0; x 119

=====

w.
A geometry-optimized DySc2Ni structure. Source: Alexandria, functional PBE-GGA.

Cell and atoms, written as CIF:
```
data_DySc2Ni
_chemical_formula_sum 'Dy3 Sc6 Ni3'
_symmetry_space_group_name_H-M 'R -3 m'
_symmetry_Int_Tables_number 166
_symmetry_space_group_name_Hall '-R 3 2"'
_cell_length_a 3.4823
_cell_length_b 3.4823
_cell_length_c 26.8938
_cell_angle_alpha 90.00
_cell_angle_beta 90.00
_cell_angle_gamma 120.00
loop_
_atom_site_label
_atom_site_fract_x
_atom_site_fract_y
_atom_site_fract_z
Dy1 0.0000 0.0000 0.0000
Sc1 0.0000 0.0000 0.2259
Ni1 0.0000 0.0000 0.5000
```

=====

x.
A geometry-optimized DySc2Ni structure. Source: Alexandria, functional PBE-GGA.

Cell and atoms, written as CIF:
```
data_DySc2Ni
_chemical_formula_sum 'Dy1 Sc2 Ni1'
_symmetry_space_group_name_H-M 'P 4/m m m'
_symmetry_Int_Tables_number 123
_symmetry_space_group_name_Hall '-P 4 2'
_cell_length_a 3.2469
_cell_length_b 3.2469
_cell_length_c 8.2682
_cell_angle_alpha 90.00
_cell_angle_beta 90.00
_cell_angle_gamma 90.00
loop_
_atom_site_label
_atom_site_fract_x
_atom_site_fract_y
_atom_site_fract_z
Dy1 0.0000 0.0000 0.0000
Sc1 0.5000 0.5000 0.3165
Ni1 0.0000 0.0000 0.5000
```

=====

Computed energies relative to the best structure, in meV per atom: w 139; x 0